1.
# BaHoAs PBE-GGA relaxed
data_BaHoAs
_chemical_formula_sum 'Ba2 Ho2 As2'
_cell_length_a 5.625
_cell_length_b 5.625
_cell_length_c 6.713
_cell_angle_alpha 90.00
_cell_angle_beta 90.00
_cell_angle_gamma 90.00
_space_group_name_H-M_alt 'P 1'
_space_group_IT_number 1
_space_group_name_Hall 'P 1'
loop_
_atom_site_label
_atom_site_type_symbol
_atom_site_fract_x
_atom_site_fract_y
_atom_site_fract_z
_atom_site_occupancy
As1 As 0.500 0.000 0.072 1
Ba1 Ba 0.500 0.000 0.562 1
As2 As 0.000 0.500 0.928 1
Ho1 Ho 0.000 0.000 0.000 1
Ho2 Ho 0.500 0.500 0.000 1
Ba2 Ba 0.000 0.500 0.438 1
# * energy relative to the elements: -0.8186 eV per atom
# * mass density: 5.90 g/cm3
# * raw total energy: -27.21 eV for the cell shown

---

2.
# BaHoAs2O8 PBE-GGA relaxed
data_BaHoAs2O8
_chemical_formula_sum 'Ba1 Ho1 As2 O8'
_cell_length_a 5.693
_cell_length_b 5.693
_cell_length_c 7.741
_cell_angle_alpha 90.00
_cell_angle_beta 90.00
_cell_angle_gamma 120.00
_space_group_name_H-M_alt 'P 1'
_space_group_IT_number 1
_space_group_name_Hall 'P 1'
loop_
_atom_site_label
_atom_site_type_symbol
_atom_site_fract_x
_atom_site_fract_y
_atom_site_fract_z
_atom_site_occupancy
O1 O 0.837 0.663 0.308 1
O2 O 0.667 0.333 0.017 1
O3 O 0.337 0.174 0.308 1
O4 O 0.826 0.163 0.308 1
Ho1 Ho 0.000 0.000 0.500 1
As1 As 0.667 0.333 0.240 1
O5 O 0.663 0.826 0.692 1
Ba1 Ba 0.000 0.000 0.000 1
O6 O 0.174 0.837 0.692 1
As2 As 0.333 0.667 0.760 1
O7 O 0.163 0.337 0.692 1
O8 O 0.333 0.667 0.983 1
# * formation energy from raw total energies: -2009 meV/atom
# * mass density: 4.43 g/cm3
# * raw total energy: -79.57 eV for the cell shown